Below is a relaxed structure of SrHg8Pb2, with properties calculated at the PBE level.

The space group is C2/m (No. 12) and the conventional cell measures 17.7314, 5.9914 and 5.9284 Å, with angles of 90.00, 90.18 and 90.00 degrees. The asymmetric unit holds Sr at (0.0000, 0.0000, 0.0000), Hg at (0.0860, 0.2517, 0.5329), Hg at (0.1005, 0.5000, 0.0104), Hg at (0.1889, 0.0000, 0.1105) and Pb at (0.2467, 0.5000, 0.3701).

The total magnetization is 0.00 μB/atom. The calculation puts the energy of formation from the pure elements at -0.1190 eV per atom. The value obtained for the volume is 28.63 A^3/atom.